(1)
Density functional theory data (GGA-PBE) for crystalline Pr2SmPd2 at its relaxed geometry.

Symmetry: No. 12
Density of states at the Fermi level in states/eV/f.u.: 4.02

Cell lengths 6.913, 6.913, 11.608 Å; angles 117.48, 117.48, 33.98 degrees
Element x y z (fractional)
Pr 0.047 0.047 0.198
Pr 0.171 0.171 0.577
Pr 0.829 0.829 0.423
Pr 0.953 0.953 0.802
Sm 0.298 0.298 0.145
Sm 0.702 0.702 0.855
Pd 0.379 0.379 0.946
Pd 0.482 0.482 0.615
Pd 0.518 0.518 0.385
Pd 0.621 0.621 0.054

(2)
Density functional theory data (GGA-PBE) for crystalline PrSm2Pd at its relaxed geometry.

Symmetry: No. 160
Density of states at the Fermi level in states/eV/f.u.: 4.32

Cell lengths 9.751, 9.751, 9.751 Å; angles 23.21, 23.21, 23.21 degrees
Element x y z (fractional)
Pr 0.000 0.000 0.000
Sm 0.230 0.230 0.230
Sm 0.438 0.438 0.438
Pd 0.834 0.834 0.834

(3)
Density functional theory data (GGA-PBE) for crystalline PrSm4Pd2 at its relaxed geometry.

Symmetry: No. 11
Density of states at the Fermi level in states/eV/f.u.: 7.30

Cell lengths 8.072, 6.629, 8.084 Å; angles 90.00, 110.33, 90.00 degrees
Element x y z (fractional)
Pr 0.146 0.250 0.354
Pr 0.854 0.750 0.646
Sm 0.050 0.750 0.075
Sm 0.299 0.000 0.798
Sm 0.299 0.500 0.798
Sm 0.425 0.750 0.450
Sm 0.575 0.250 0.550
Sm 0.701 0.000 0.202
Sm 0.701 0.500 0.202
Sm 0.950 0.250 0.925
Pd 0.068 0.750 0.431
Pd 0.369 0.250 0.130
Pd 0.631 0.750 0.870
Pd 0.932 0.250 0.569

Calculated ΔH_f (0 K), -0.62; -0.28; -0.30 eV per atom (same order as the records).
Calculated raw total energy, -5.556; -5.134; -5.163 eV/atom (same order as the records).